First-principles (PBE-GGA) data for Nd4CuNi after structural relaxation, as listed in Alexandria via LeMat-Bulk.

## Properties
E_form ... -4 kJ per mole of atoms
Fermi-level density of states ... 1.393 states/eV per atom
Uncorrected energy ... -29.22 eV/f.u.

Cell: 6.9811 7.1344 6.9924 Å, 90.00 94.21 90.00°
Last column: nearest neighbours and their distance in Å.
Fractional positions:
Nd  0.1627  0.1638  0.1817  2 Ni 2.82-2.91, 1 Cu 2.99
Nd  0.1627  0.3362  0.6817  2 Ni 2.82-2.91, 1 Cu 2.99
Nd  0.3306  0.6573  0.1350  1 Ni 2.68, 2 Cu 2.90-2.95
Nd  0.3306  0.8427  0.6350  1 Ni 2.68, 2 Cu 2.90-2.95
Nd  0.6694  0.1573  0.3650  1 Ni 2.68, 2 Cu 2.90-2.95
Nd  0.6694  0.3427  0.8650  1 Ni 2.68, 2 Cu 2.90-2.95
Nd  0.8373  0.6638  0.3183  2 Ni 2.82-2.91, 1 Cu 2.99
Nd  0.8373  0.8362  0.8183  2 Ni 2.82-2.91, 1 Cu 2.99
Cu  0.5000  0.0000  0.0000  6 Nd 2.90-2.99
Cu  0.5000  0.5000  0.5000  6 Nd 2.90-2.99
Ni  0.0000  0.0000  0.5000  6 Nd 2.68-2.91
Ni  0.0000  0.5000  0.0000  6 Nd 2.68-2.91